# Pm3Ho2Tm3

A relaxed structure of Pm3Ho2Tm3 (GGA-PBE, the Alexandria database).

Lattice parameters (Å, degrees): 5.498 11.770 16.203 90.00 90.00 90.00
Space group Cmcm (No. 63)
Symmetry-distinct sites (fractional):
Pm 0.000 0.039 0.250 [4 per cell]
Pm 0.000 0.114 0.553 [8 per cell]
Ho 0.000 0.276 0.132 [8 per cell]
Tm 0.000 0.242 0.750 [4 per cell]
Tm 0.000 0.419 0.587 [8 per cell]

## Properties
ΔE to the lowest computed polymorph: 53 meV/atom
Calculated formation energy: 144 meV/atom
DFT total energy: -4.4588 eV per atom



# CaSb2TeMo

A relaxed structure of CaSb2TeMo (GGA-PBE, the Alexandria database).

Lattice parameters (Å, degrees): 5.527 5.527 5.519 90.00 90.00 90.00
Space group P4/mmm (No. 123)
Symmetry-distinct sites (fractional):
Ca 0.000 0.000 0.000 [1 per cell]
Sb 0.000 0.500 0.000 [2 per cell]
Te 0.000 0.000 0.500 [1 per cell]
Mo 0.500 0.500 0.500 [1 per cell]

## Properties
E_form (uncorrected): 1.544 eV/atom
ΔE to the lowest computed polymorph: 1488 meV/atom
DFT total energy: -3.3002 eV per atom



# K3ZnPd2F9

A relaxed structure of K3ZnPd2F9 (GGA-PBE, the Alexandria database).

Lattice parameters (Å, degrees): 6.0137 6.0137 7.3572 90.00 90.00 120.00
Space group P-3m1 (No. 164)
Symmetry-distinct sites (fractional):
K 0.0000 0.0000 0.0000 [1 per cell]
K 0.3333 0.6667 0.6595 [2 per cell]
Zn 0.0000 0.0000 0.5000 [1 per cell]
Pd 0.3333 0.6667 0.1683 [2 per cell]
F 0.0000 0.5000 0.0000 [3 per cell]
F 0.1604 0.3207 0.3393 [6 per cell]

## Properties
E_form (uncorrected): -2.072 eV/atom
DFT total energy: -4.1917 eV per atom



# AgSb2

A relaxed structure of AgSb2 (GGA-PBE, the Alexandria database).

Lattice parameters (Å, degrees): 7.153 7.153 5.808 90.00 90.00 90.00
Space group I4/mcm (No. 140)
Symmetry-distinct sites (fractional):
Ag 0.000 0.000 0.250 [4 per cell]
Sb 0.145 0.355 0.000 [8 per cell]

## Properties
E_form (uncorrected): 0.168 eV/atom
DFT total energy: -3.5302 eV per atom



# Tm3HgS2

A relaxed structure of Tm3HgS2 (GGA-PBE, the Alexandria database).

Lattice parameters (Å, degrees): 4.597 12.420 9.768 90.00 90.00 90.00
Space group Cmcm (No. 63)
Symmetry-distinct sites (fractional):
Tm 0.000 0.105 0.250 [4 per cell]
Tm 0.000 0.362 0.053 [8 per cell]
Hg 0.000 0.230 0.750 [4 per cell]
S 0.000 0.000 0.000 [4 per cell]
S 0.000 0.488 0.750 [4 per cell]

## Properties
E_form (uncorrected): -1.215 eV/atom
DFT total energy: -4.8768 eV per atom



# LiPu2Pb9

A relaxed structure of LiPu2Pb9 (GGA-PBE, the Alexandria database).

Lattice parameters (Å, degrees): 4.843 4.843 14.715 90.00 90.00 90.00
Space group P4/mmm (No. 123)
Symmetry-distinct sites (fractional):
Li 0.000 0.000 0.000 [1 per cell]
Pu 0.000 0.000 0.340 [2 per cell]
Pb 0.000 0.500 0.162 [4 per cell]
Pb 0.000 0.500 0.500 [2 per cell]
Pb 0.500 0.500 0.000 [1 per cell]
Pb 0.500 0.500 0.330 [2 per cell]

## Properties
Calculated formation energy: -130 meV/atom
DFT total energy: -5.4589 eV per atom



# K2TbTaO6

A relaxed structure of K2TbTaO6 (GGA-PBE, the Alexandria database).

Lattice parameters (Å, degrees): 8.563 8.563 8.563 90.00 90.00 90.00
Space group Fm-3m (No. 225)
Symmetry-distinct sites (fractional):
K 0.250 0.250 0.250 [8 per cell]
Tb 0.000 0.000 0.000 [4 per cell]
Ta 0.000 0.000 0.500 [4 per cell]
O 0.000 0.000 0.267 [24 per cell]

## Properties
E_form (uncorrected): -2.339 eV/atom
DFT total energy: -7.1816 eV per atom



# KRhAu

A relaxed structure of KRhAu (GGA-PBE, the Alexandria database).

Lattice parameters (Å, degrees): 2.905 2.905 14.700 90.00 90.00 90.00
Space group I4mm (No. 107)
Symmetry-distinct sites (fractional):
K 0.000 0.000 0.000 [2 per cell]
Rh 0.000 0.000 0.321 [2 per cell]
Au 0.000 0.000 0.689 [2 per cell]

## Properties
ΔE to the lowest computed polymorph: 217 meV/atom
Calculated formation energy: 421 meV/atom
DFT total energy: -3.4881 eV per atom



# K2Np2O7

A relaxed structure of K2Np2O7 (GGA-PBE, the Alexandria database).

Lattice parameters (Å, degrees): 8.096 11.180 8.281 90.00 90.00 90.00
Space group Imma (No. 74)
Symmetry-distinct sites (fractional):
K 0.000 0.000 0.000 [4 per cell]
K 0.250 0.250 0.250 [4 per cell]
Np 0.000 0.000 0.500 [4 per cell]
Np 0.250 0.250 0.750 [4 per cell]
O 0.000 0.082 0.303 [8 per cell]
O 0.000 0.250 0.831 [4 per cell]
O 0.199 0.121 0.581 [16 per cell]

## Properties
E_form (uncorrected): -2.654 eV/atom
DFT total energy: -8.3615 eV per atom



# Sm2HoZr

A relaxed structure of Sm2HoZr (GGA-PBE, the Alexandria database).

Lattice parameters (Å, degrees): 7.821 7.821 7.821 90.00 90.00 90.00
Space group Fm-3m (No. 225)
Symmetry-distinct sites (fractional):
Sm 0.250 0.250 0.250 [8 per cell]
Ho 0.000 0.000 0.000 [4 per cell]
Zr 0.000 0.000 0.500 [4 per cell]

## Properties
ΔE to the lowest computed polymorph: 111 meV/atom
Calculated formation energy: 219 meV/atom
DFT total energy: -5.4220 eV per atom



# Sm8Ag2Bi

A relaxed structure of Sm8Ag2Bi (GGA-PBE, the Alexandria database).

Lattice parameters (Å, degrees): 8.849 14.216 5.667 90.00 107.58 90.00
Space group C2/m (No. 12)
Symmetry-distinct sites (fractional):
Sm 0.000 0.239 0.000 [4 per cell]
Sm 0.101 0.500 0.804 [4 per cell]
Sm 0.198 0.116 0.599 [8 per cell]
Ag 0.000 0.309 0.500 [4 per cell]
Bi 0.000 0.000 0.000 [2 per cell]

## Properties
Calculated formation energy: -129 meV/atom
DFT total energy: -4.4327 eV per atom